# 1
## Nd2GaHg4 (PBE)

Data for a geometry-optimized Nd2GaHg4 structure.

Output
DFT formation energy: -0.349 eV per atom
Space-group type: No. 166

Unit cell a=5.288 b=5.288 c=8.011 alpha=70.73 beta=70.73 gamma=60.00
Fractional coordinates of all 7 atoms:
Nd 0.278 0.278 0.166
Ga 0.000 0.000 0.000
Hg 0.429 0.429 0.714
Nd 0.722 0.722 0.834
Hg 0.868 0.868 0.397
Hg 0.132 0.132 0.603
Hg 0.571 0.571 0.286


# 2
## DyVH2 (PBE)

Data for a geometry-optimized DyVH2 structure.

Output
E_tot: -5.12 eV per atom
Space-group type: No. 166

Unit cell a=3.136 b=3.136 c=5.459 alpha=73.31 beta=73.31 gamma=60.00
Last column: magnetic moment on the atom in μB.
Fractional coordinates of all 4 atoms:
H 0.279 0.279 0.163  0.00
H 0.721 0.721 0.837  0.00
V 0.000 0.000 0.000  0.19
Dy 0.500 0.500 0.500  0.01


# 3
## CeBiIr4 (PBE)

Data for a geometry-optimized CeBiIr4 structure.

Output
DFT formation energy: -0.306 eV per atom
Space-group type: No. 216

Unit cell a=5.405 b=5.405 c=5.405 alpha=60.00 beta=60.00 gamma=60.00
Fractional coordinates of all 6 atoms:
Bi 0.000 0.000 0.000
Ce 0.250 0.250 0.250
Ir 0.625 0.625 0.625
Ir 0.625 0.625 0.124
Ir 0.625 0.124 0.625
Ir 0.124 0.625 0.625


# 4
## PrNd3Y2Tm6 (PBE)

Data for a geometry-optimized PrNd3Y2Tm6 structure.

Output
DFT formation energy: 0.022 eV per atom
Space-group type: No. 12

Unit cell a=6.191 b=6.191 c=11.754 alpha=95.02 beta=95.02 gamma=119.98
Fractional coordinates of all 12 atoms:
Tm 0.083 0.417 0.249
Nd 0.500 0.500 0.500
Tm 0.250 0.250 0.751
Y 0.667 0.333 0.000
Nd 0.167 0.833 0.500
Tm 0.417 0.083 0.249
Tm 0.750 0.750 0.249
Y 0.333 0.667 0.000
Nd 0.833 0.167 0.500
Tm 0.583 0.917 0.751
Pr 0.000 0.000 0.000
Tm 0.917 0.583 0.751


# 5
## ScMnSe3 (PBE)

Data for a geometry-optimized ScMnSe3 structure.

Output
E_tot: -6.18 eV per atom
Space-group type: No. 12

Unit cell a=6.632 b=6.643 c=6.586 alpha=78.83 beta=67.17 gamma=60.05
Last column: magnetic moment on the atom in μB.
Fractional coordinates of all 10 atoms:
Se 0.410 0.642 0.264  -0.02
Mn 0.663 0.674 0.500  3.72
Se 0.705 0.000 0.238  -0.02
Sc 0.838 0.323 0.000  0.10
Se 0.590 0.358 0.736  -0.02
Se 0.295 0.000 0.762  -0.02
Se 0.053 0.358 0.264  -0.02
Se 0.947 0.642 0.736  -0.02
Sc 0.162 0.677 0.000  0.10
Mn 0.337 0.326 0.500  3.72


# 6
## BiPOF2 (PBE)

Data for a geometry-optimized BiPOF2 structure.

Output
E_tot: -4.43 eV per atom
Space-group type: No. 123

Unit cell a=4.781 b=4.781 c=3.432 alpha=90.00 beta=90.00 gamma=90.00
Fractional coordinates of all 5 atoms:
O 0.000 0.000 0.500
Bi 0.500 0.500 0.500
P 0.000 0.000 0.000
F 0.500 0.000 0.000
F 0.000 0.500 0.000


# 7
## ErH2Ir (PBE)

Data for a geometry-optimized ErH2Ir structure.

Output
E_tot: -5.51 eV per atom
Space-group type: No. 166

Unit cell a=3.917 b=3.917 c=4.434 alpha=63.79 beta=63.79 gamma=60.00
Fractional coordinates of all 4 atoms:
H 0.853 0.853 0.440
H 0.147 0.147 0.560
Er 0.500 0.500 0.500
Ir 0.000 0.000 0.000


# 8
## Th4Bi3C2 (PBE)

Data for a geometry-optimized Th4Bi3C2 structure.

Output
DFT formation energy: -0.481 eV per atom
Space-group type: No. 15

Unit cell a=6.603 b=9.098 c=9.098 alpha=71.17 beta=88.52 gamma=88.52
Fractional coordinates of all 18 atoms:
Th 0.520 0.069 0.670
Th 0.980 0.330 0.931
C 0.415 0.157 0.404
Th 0.020 0.670 0.069
Th 0.066 0.230 0.391
Bi 0.482 0.230 0.967
C 0.915 0.404 0.157
Th 0.480 0.931 0.330
Th 0.934 0.770 0.609
Bi 0.982 0.967 0.230
Bi 0.518 0.770 0.033
Bi 0.018 0.033 0.770
Th 0.434 0.609 0.770
Bi 0.250 0.538 0.462
C 0.085 0.596 0.843
Th 0.566 0.391 0.230
Bi 0.750 0.462 0.538
C 0.585 0.843 0.596


# 9
## BaPO (PBE)

Data for a geometry-optimized BaPO structure.

Output
E_tot: -5.61 eV per atom
Space-group type: No. 12

Unit cell a=4.812 b=4.617 c=9.522 alpha=106.83 beta=90.00 gamma=121.40
Fractional coordinates of all 6 atoms:
O 0.262 0.523 0.310
Ba 0.897 0.794 0.270
Ba 0.103 0.206 0.730
P 0.644 0.288 0.506
P 0.356 0.712 0.494
O 0.738 0.477 0.690


# 10
## Sr2SnHg5 (PBE)

Data for a geometry-optimized Sr2SnHg5 structure.

Output
DFT formation energy: -0.369 eV per atom
Space-group type: No. 63

Unit cell a=4.919 b=9.615 c=10.215 alpha=90.00 beta=90.00 gamma=104.82
Fractional coordinates of all 16 atoms:
Hg 0.195 0.390 0.897
Hg 0.643 0.286 0.469
Hg 0.357 0.714 0.969
Hg 0.805 0.610 0.397
Hg 0.805 0.610 0.103
Hg 0.195 0.390 0.603
Hg 0.605 0.211 0.750
Hg 0.395 0.789 0.250
Sr 0.197 0.395 0.250
Sn 0.454 0.907 0.750
Sr 0.803 0.605 0.750
Sn 0.546 0.093 0.250
Hg 0.357 0.714 0.531
Sr 0.000 0.000 0.000
Hg 0.643 0.286 0.031
Sr 0.000 0.000 0.500


# 11
## MnCd (PBE)

Data for a geometry-optimized MnCd structure.

Output
DFT formation energy: 0.450 eV per atom
Space-group type: No. 19

Unit cell a=5.081 b=8.156 c=7.351 alpha=90.00 beta=90.00 gamma=90.00
Last column: magnetic moment on the atom in μB.
Fractional coordinates of all 16 atoms:
Cd 0.017 0.805 0.021  -0.05
Cd 0.517 0.695 0.979  -0.05
Cd 0.773 0.924 0.675  -0.06
Mn 0.245 0.748 0.647  3.65
Mn 0.215 0.946 0.345  3.76
Cd 0.483 0.195 0.521  -0.05
Cd 0.227 0.424 0.825  -0.06
Mn 0.745 0.752 0.353  3.65
Cd 0.727 0.076 0.175  -0.06
Mn 0.715 0.554 0.655  3.76
Cd 0.983 0.305 0.479  -0.05
Mn 0.255 0.252 0.147  3.65
Mn 0.755 0.248 0.853  3.65
Cd 0.273 0.576 0.325  -0.06
Mn 0.285 0.054 0.845  3.76
Mn 0.785 0.446 0.155  3.76


# 12
## TaCdSi (PBE)

Data for a geometry-optimized TaCdSi structure.

Output
E_tot: -5.84 eV per atom
Space-group type: No. 44

Unit cell a=5.723 b=5.723 c=5.723 alpha=150.26 beta=143.80 gamma=47.53
Fractional coordinates of all 3 atoms:
Ta 0.692 0.692 0.000
Cd 0.995 0.995 0.000
Si 0.313 0.313 0.000


# 13
## NaPtI2 (PBE)

Data for a geometry-optimized NaPtI2 structure.

Output
E_tot: -2.51 eV per atom
Space-group type: No. 225

Unit cell a=5.311 b=5.311 c=5.311 alpha=60.00 beta=60.00 gamma=60.00
Last column: magnetic moment on the atom in μB.
Fractional coordinates of all 4 atoms:
Pt 0.500 0.500 0.500  0.51
I 0.750 0.750 0.750  0.12
Na 0.000 0.000 0.000  0.00
I 0.250 0.250 0.250  0.12


# 14
## Ca4Ag3Rh (PBE)

Data for a geometry-optimized Ca4Ag3Rh structure.

Output
DFT formation energy: -0.330 eV per atom
Space-group type: No. 166

Unit cell a=5.157 b=5.157 c=8.883 alpha=73.12 beta=73.12 gamma=60.00
Fractional coordinates of all 8 atoms:
Ca 0.630 0.630 0.110
Ag 0.752 0.752 0.743
Rh 0.000 0.000 0.000
Ca 0.370 0.370 0.890
Ca 0.119 0.119 0.643
Ca 0.881 0.881 0.357
Ag 0.248 0.248 0.257
Ag 0.500 0.500 0.500


# 15
## BaGa2SI (PBE)

Data for a geometry-optimized BaGa2SI structure.

Output
E_tot: -2.17 eV per atom
Space-group type: No. 123

Unit cell a=6.631 b=6.302 c=6.631 alpha=90.00 beta=90.00 gamma=90.00
Last column: magnetic moment on the atom in μB.
Fractional coordinates of all 5 atoms:
S 0.500 0.500 0.500  -0.48
I 0.000 0.500 0.000  -0.01
Ga 0.500 0.000 0.000  0.04
Ga 0.000 0.000 0.500  0.04
Ba 0.000 0.000 0.000  0.03


# 16
## MgAlBr3 (PBE)

Data for a geometry-optimized MgAlBr3 structure.

Output
E_tot: -2.87 eV per atom
Space-group type: No. 221

Unit cell a=5.291 b=5.291 c=5.291 alpha=90.00 beta=90.00 gamma=90.00
Fractional coordinates of all 5 atoms:
Br 0.000 0.500 0.000
Br 0.500 0.000 0.000
Mg 0.000 0.000 0.000
Br 0.000 0.000 0.500
Al 0.500 0.500 0.500


# 17
## Tl2In5Hg (PBE)

Data for a geometry-optimized Tl2In5Hg structure.

Output
DFT formation energy: 0.178 eV per atom
Space-group type: No. 123

Unit cell a=5.532 b=6.940 c=6.940 alpha=90.00 beta=90.00 gamma=90.00
Fractional coordinates of all 8 atoms:
In 0.500 0.000 0.000
In 0.000 0.288 0.288
Tl 0.500 0.500 0.000
In 0.000 0.288 0.712
In 0.000 0.712 0.712
Hg 0.000 0.000 0.000
Tl 0.500 0.000 0.500
In 0.000 0.712 0.288


# 18
## TlHg2Au (PBE)

Data for a geometry-optimized TlHg2Au structure.

Output
DFT formation energy: 0.056 eV per atom
Space-group type: No. 119

Unit cell a=5.254 b=5.254 c=5.254 alpha=121.29 beta=121.29 gamma=87.77
Fractional coordinates of all 4 atoms:
Au 0.750 0.250 0.500
Hg 0.000 0.000 0.000
Hg 0.250 0.750 0.500
Tl 0.500 0.500 0.000


# 19
## TbY3Sc (PBE)

Data for a geometry-optimized TbY3Sc structure.

Output
DFT formation energy: 0.108 eV per atom
Space-group type: No. 14

Unit cell a=6.272 b=8.466 c=12.957 alpha=115.32 beta=90.00 gamma=90.00
Fractional coordinates of all 20 atoms:
Y 0.453 0.855 0.241
Y 0.340 0.653 0.682
Sc 0.179 0.484 0.421
Sc 0.821 0.516 0.579
Y 0.443 0.213 0.517
Y 0.057 0.713 0.017
Y 0.557 0.787 0.483
Tb 0.443 0.412 0.101
Y 0.547 0.145 0.759
Tb 0.943 0.088 0.399
Y 0.047 0.355 0.741
Y 0.160 0.153 0.182
Y 0.660 0.347 0.318
Tb 0.057 0.912 0.601
Y 0.953 0.645 0.259
Sc 0.679 0.016 0.079
Tb 0.557 0.588 0.899
Sc 0.321 0.984 0.921
Y 0.943 0.287 0.983
Y 0.840 0.847 0.818


# 20
## AgS2BrN (PBE)

Data for a geometry-optimized AgS2BrN structure.

Output
E_tot: -2.74 eV per atom
Space-group type: No. 123

Unit cell a=5.017 b=5.017 c=4.102 alpha=90.00 beta=90.00 gamma=90.00
Last column: magnetic moment on the atom in μB.
Fractional coordinates of all 5 atoms:
Ag 0.000 0.000 0.000  0.11
Br 0.500 0.500 0.500  0.06
N 0.000 0.000 0.500  1.23
S 0.500 0.000 0.000  0.11
S 0.000 0.500 0.000  0.11